No. 1
ReTcW2I: optimized geometry, PBE-GGA.

abc: 4.8174 4.8174 4.7480
angles: 90.00 90.00 90.00
Space group P4/mmm (No. 123)
One atom of each set of equivalent atoms:
Re  0.0000  0.0000  0.0000 [1 per cell]
Tc  0.5000  0.5000  0.0000 [1 per cell]
W  0.0000  0.5000  0.5000 [2 per cell]
I  0.0000  0.0000  0.5000 [1 per cell]

Calculated values
magnetic moment	0.53	μB/atom
ΔE_f (raw)	3.093	eV/atom
V	110.19	Å³ per cell
distance to the lowest polymorph of the same formula	547.5	meV per atom


No. 2
TlSnI: optimized geometry, PBE-GGA.

abc: 14.3142 5.0366 6.0464
angles: 90.00 90.00 90.00
Space group Amm2 (No. 38)
One atom of each set of equivalent atoms:
Tl  0.1402  0.0000  0.0000 [4 per cell]
Sn  0.0000  0.0000  0.4846 [2 per cell]
Sn  0.5000  0.0000  0.2226 [2 per cell]
I  0.3565  0.0000  0.6102 [4 per cell]

Calculated values
magnetic moment	0.00	μB/atom
ΔE_f (raw)	-0.104	eV/atom
V	435.91	Å³ per cell


No. 3
MgZrHg2: optimized geometry, PBE-GGA.

abc: 9.3317 3.2354 6.0138
angles: 90.00 99.68 90.00
Space group C2/m (No. 12)
One atom of each set of equivalent atoms:
Mg  0.0000  0.0000  0.0000 [2 per cell]
Zr  0.0000  0.5000  0.5000 [2 per cell]
Hg  0.2481  0.5000  0.2461 [4 per cell]

Calculated values
magnetic moment	0.00	μB/atom
V	178.98	Å³ per cell
energy of formation	-0.09	eV/atom


No. 4
Nb2Al2As: optimized geometry, PBE-GGA.

abc: 6.7366 6.7366 3.9932
angles: 90.00 90.00 90.00
Space group P4/mbm (No. 127)
One atom of each set of equivalent atoms:
Nb  0.1608  0.3392  0.0000 [4 per cell]
Al  0.1403  0.6403  0.5000 [4 per cell]
As  0.0000  0.0000  0.0000 [2 per cell]

Calculated values
magnetic moment	0.00	μB/atom
V	181.22	Å³ per cell
energy of formation	-0.24	eV/atom


No. 5
PaAg: optimized geometry, PBE-GGA.

abc: 3.4339 3.9161 6.6128
angles: 90.00 94.37 90.00
Space group P2_1/m (No. 11)
One atom of each set of equivalent atoms:
Pa  0.1910  0.2500  0.1126 [2 per cell]
Ag  0.2688  0.2500  0.6033 [2 per cell]

Calculated values
magnetic moment	0.00	μB/atom
V	88.67	Å³ per cell
energy of formation	0.15	eV/atom


No. 6
Ho5PuN6: optimized geometry, PBE-GGA.

abc: 5.9717 10.3429 5.9748
angles: 90.00 109.45 90.00
Space group C2/m (No. 12)
One atom of each set of equivalent atoms:
Ho  0.0000  0.0000  0.0000 [2 per cell]
Ho  0.0000  0.1664  0.5000 [4 per cell]
Ho  0.0000  0.3328  0.0000 [4 per cell]
Pu  0.0000  0.5000  0.5000 [2 per cell]
N  0.2450  0.5000  0.2543 [4 per cell]
N  0.2459  0.3366  0.7474 [8 per cell]

Calculated values
magnetic moment	0.37	μB/atom
ΔE_f (raw)	-1.653	eV/atom
V	347.98	Å³ per cell


No. 7
Re3Pb: optimized geometry, PBE-GGA.

abc: 9.0232 9.0232 2.8986
angles: 90.00 90.00 120.00
Space group R-3m (No. 166, hexagonal axes)
One atom of each set of equivalent atoms:
Re  0.0000  0.5000  0.0000 [9 per cell]
Pb  0.0000  0.0000  0.0000 [3 per cell]

Calculated values
magnetic moment	0.00	μB/atom
V	204.38	Å³ per cell
energy of formation	1.12	eV/atom
distance to the lowest polymorph of the same formula	493.3	meV per atom


No. 8
PmDy4Th5: optimized geometry, PBE-GGA.

abc: 22.4193 3.5356 8.3915
angles: 90.00 92.02 90.00
Space group C2/m (No. 12)
One atom of each set of equivalent atoms:
Pm  0.0000  0.0000  0.0000 [2 per cell]
Dy  0.0928  0.5000  0.7410 [4 per cell]
Dy  0.1790  0.0000  0.0110 [4 per cell]
Th  0.0000  0.0000  0.5000 [2 per cell]
Th  0.1145  0.5000  0.3282 [4 per cell]
Th  0.2363  0.5000  0.6634 [4 per cell]

Calculated values
magnetic moment	0.00	μB/atom
V	664.75	Å³ per cell
energy of formation	0.21	eV/atom


No. 9
CsMnICl6: optimized geometry, PBE-GGA.

abc: 7.0111 7.4401 7.4573
angles: 111.95 96.76 97.02
Space group P1 (No. 1)
One atom of each set of equivalent atoms:
Cs  0.0000  0.0000  0.0000 [1 per cell]
Mn  0.4990  0.3044  0.6923 [1 per cell]
I  0.4989  0.7978  0.1990 [1 per cell]
Cl  0.3026  0.0329  0.6754 [1 per cell]
Cl  0.3033  0.3034  0.4306 [1 per cell]
Cl  0.3044  0.5041  0.8954 [1 per cell]
Cl  0.6925  0.3188  0.9628 [1 per cell]
Cl  0.6935  0.1013  0.4929 [1 per cell]
Cl  0.6976  0.5674  0.6960 [1 per cell]

Calculated values
magnetic moment	0.34	μB/atom
ΔE_f (raw)	-0.929	eV/atom
V	352.40	Å³ per cell


No. 10
NaMgInP2: optimized geometry, PBE-GGA.

abc: 14.0133 4.2297 8.6900
angles: 90.00 98.90 90.00
Space group C2/m (No. 12)
One atom of each set of equivalent atoms:
Na  0.1655  0.0000  0.1653 [4 per cell]
Mg  0.1826  0.0000  0.5720 [4 per cell]
In  0.0472  0.5000  0.7117 [4 per cell]
P  0.1285  0.0000  0.8371 [4 per cell]
P  0.1304  0.5000  0.4173 [4 per cell]

Calculated values
magnetic moment	0.00	μB/atom
V	508.87	Å³ per cell
energy of formation	-0.38	eV/atom


No. 11
IrRuAu2: optimized geometry, PBE-GGA.

abc: 6.4017 6.4017 6.4017
angles: 90.00 90.00 90.00
Space group F-43m (No. 216)
One atom of each set of equivalent atoms:
Ir  0.0000  0.0000  0.0000 [4 per cell]
Ru  0.2500  0.2500  0.2500 [4 per cell]
Au  0.0000  0.0000  0.5000 [4 per cell]
Au  0.2500  0.2500  0.7500 [4 per cell]

Calculated values
magnetic moment	0.35	μB/atom
V	262.35	Å³ per cell
energy of formation	0.58	eV/atom
distance to the lowest polymorph of the same formula	415.1	meV per atom


No. 12
MgTeOsI2: optimized geometry, PBE-GGA.

abc: 5.6032 5.6032 5.0516
angles: 90.00 90.00 90.00
Space group P4/mmm (No. 123)
One atom of each set of equivalent atoms:
Mg  0.0000  0.0000  0.0000 [1 per cell]
Te  0.5000  0.5000  0.0000 [1 per cell]
Os  0.5000  0.5000  0.5000 [1 per cell]
I  0.0000  0.5000  0.5000 [2 per cell]

Calculated values
magnetic moment	0.00	μB/atom
ΔE_f (raw)	0.497	eV/atom
V	158.60	Å³ per cell
distance to the lowest polymorph of the same formula	0.0	meV per atom


Q: Which value of magnetic moment does entry 8 give?
A: 0.00 μB/atom


Q: Which value of magnetic moment does entry 7 give?
A: 0.00 μB/atom